(1)
A relaxed structure of Pm2IrRu3. Source: Alexandria, functional PBE.

Unit cell a=5.338 b=5.338 c=5.487 alpha=89.88 beta=119.22 gamma=120.02
Atoms (fractional coordinates):
Pm  0.753  0.376  0.130
Pm  0.247  0.624  0.870
Ir  0.000  0.000  0.000
Ru  0.500  0.500  0.500
Ru  0.500  0.000  0.500
Ru  0.000  0.000  0.500

## Properties
- Formation energy: -0.328 eV/atom
- Space-group type: C2/m (12)



(2)
A relaxed structure of PmIrRu. Source: Alexandria, functional PBE.

Unit cell a=4.842 b=4.843 c=5.703 alpha=90.00 beta=90.00 gamma=90.00
Atoms (fractional coordinates):
Ir  0.500  0.500  0.500
Ir  0.000  0.000  0.500
Pm  0.000  0.000  0.000
Pm  0.500  0.500  0.000
Ru  0.500  0.000  0.637
Ru  0.000  0.500  0.363

## Properties
- Energy above the lowest structure with this stoichiometry: 686 meV/atom
- Formation energy: 0.220 eV/atom
- Space-group type: P4/nmm (129)



(3)
A relaxed structure of Pm6Ir2Ru. Source: Alexandria, functional PBE.

Unit cell a=6.775 b=7.495 c=9.936 alpha=90.00 beta=88.47 gamma=90.00
Atoms (fractional coordinates):
Pm  0.176  0.325  0.434
Pm  0.841  0.955  0.245
Pm  0.161  0.332  0.078
Pm  0.676  0.175  0.934
Pm  0.159  0.045  0.755
Pm  0.661  0.168  0.578
Pm  0.341  0.545  0.745
Pm  0.324  0.825  0.066
Pm  0.339  0.832  0.422
Pm  0.824  0.675  0.566
Pm  0.839  0.668  0.922
Pm  0.659  0.455  0.255
Ir  0.043  0.621  0.271
Ir  0.457  0.121  0.229
Ir  0.543  0.879  0.771
Ir  0.957  0.379  0.729
Ru  0.500  0.500  0.000
Ru  0.000  0.000  0.500

## Properties
- Formation energy: -0.421 eV/atom
- Space-group type: P2_1/c (14)



(4)
A relaxed structure of Pm4Ir2Ru. Source: Alexandria, functional PBE.

Unit cell a=7.618 b=7.618 c=7.611 alpha=109.67 beta=109.68 gamma=109.11
Atoms (fractional coordinates):
Pm  0.751  0.001  0.629
Pm  0.876  0.253  0.248
Pm  0.372  0.122  0.371
Pm  0.877  0.754  0.254
Pm  0.500  0.623  0.746
Pm  0.375  0.124  0.873
Pm  0.005  0.628  0.752
Pm  0.251  0.502  0.127
Ir  0.124  0.248  0.623
Ir  0.752  0.378  0.877
Ir  0.625  0.501  0.377
Ir  0.502  0.875  0.123
Ru  0.247  0.747  0.500
Ru  0.993  0.993  0.000

## Properties
- Formation energy: -0.436 eV/atom
- Space-group type: C2 (5)



(5)
A relaxed structure of PmSbIrRu. Source: Alexandria, functional PBE.

Unit cell a=4.777 b=4.777 c=4.777 alpha=60.00 beta=60.00 gamma=60.00
Last column: magnetic moment on the atom in μB.
Atoms (fractional coordinates):
Sb  0.000  0.000  0.000  0.02
Ru  0.250  0.250  0.250  0.68
Ir  0.750  0.750  0.750  0.34
Pm  0.500  0.500  0.500  -0.03

## Properties
- Space-group type: F-43m (216)
- Formation energy from raw total energies: -0.90 eV per formula unit



(6)
A relaxed structure of PmScIrRu. Source: Alexandria, functional PBE.

Unit cell a=4.760 b=4.760 c=4.760 alpha=60.00 beta=60.00 gamma=60.00
Atoms (fractional coordinates):
Pm  0.000  0.000  0.000
Ir  0.250  0.250  0.250
Ru  0.750  0.750  0.750
Sc  0.500  0.500  0.500

## Properties
- Formation energy: -0.529 eV/atom
- Space-group type: F-43m (216)



(7)
A relaxed structure of Pm2Si4Ir3Ru. Source: Alexandria, functional PBE.

Unit cell a=4.218 b=4.218 c=9.710 alpha=90.00 beta=90.00 gamma=90.00
Atoms (fractional coordinates):
Si  0.500  0.500  0.000
Si  0.500  0.000  0.624
Si  0.000  0.500  0.376
Si  0.000  0.000  0.000
Ir  0.000  0.000  0.500
Ir  0.500  0.000  0.874
Ir  0.000  0.500  0.126
Ru  0.500  0.500  0.500
Pm  0.000  0.500  0.753
Pm  0.500  0.000  0.247

## Properties
- Space-group type: P-4m2 (115)
- Formation energy from raw total energies: -10.08 eV per formula unit



(8)
A relaxed structure of Pm2Si3Ir4Ru. Source: Alexandria, functional PBE.

Unit cell a=4.161 b=4.161 c=10.132 alpha=90.00 beta=90.00 gamma=90.00
Atoms (fractional coordinates):
Ir  0.500  0.500  0.000
Ir  0.000  0.500  0.364
Ir  0.000  0.000  0.000
Ir  0.500  0.000  0.636
Pm  0.500  0.000  0.247
Pm  0.000  0.500  0.753
Ru  0.500  0.500  0.500
Si  0.000  0.000  0.500
Si  0.000  0.500  0.128
Si  0.500  0.000  0.872

## Properties
- Space-group type: P-4m2 (115)
- Formation energy from raw total energies: -8.59 eV per formula unit



(9)
A relaxed structure of PmSnIrRu. Source: Alexandria, functional PBE.

Unit cell a=4.758 b=4.758 c=4.758 alpha=60.00 beta=60.00 gamma=60.00
Atoms (fractional coordinates):
Ru  0.750  0.750  0.750
Ir  0.250  0.250  0.250
Sn  0.500  0.500  0.500
Pm  0.000  0.000  0.000

## Properties
- Formation energy: -0.344 eV/atom
- Space-group type: F-43m (216)



(10)
A relaxed structure of TbPmIrRu. Source: Alexandria, functional PBE.

Unit cell a=4.904 b=4.904 c=4.904 alpha=60.00 beta=60.00 gamma=60.00
Atoms (fractional coordinates):
Tb  0.500  0.500  0.500
Ir  0.250  0.250  0.250
Ru  0.750  0.750  0.750
Pm  0.000  0.000  0.000

## Properties
- Formation energy: -0.462 eV/atom
- Space-group type: F-43m (216)



(11)
A relaxed structure of PmTmIrRu. Source: Alexandria, functional PBE.

Unit cell a=4.860 b=4.860 c=4.860 alpha=60.00 beta=60.00 gamma=60.00
Atoms (fractional coordinates):
Ru  0.750  0.750  0.750
Ir  0.250  0.250  0.250
Tm  0.500  0.500  0.500
Pm  0.000  0.000  0.000

## Properties
- Formation energy: -0.522 eV/atom
- Space-group type: F-43m (216)



(12)
A relaxed structure of PmIrS2. Source: Alexandria, functional PBE.

Unit cell a=3.690 b=3.690 c=8.139 alpha=76.90 beta=76.90 gamma=60.00
Atoms (fractional coordinates):
S  0.881  0.881  0.357
S  0.119  0.119  0.643
Pm  0.000  0.000  0.000
Ir  0.500  0.500  0.500

## Properties
- Space-group type: R-3m (166)
- Formation energy from raw total energies: -1.89 eV per formula unit



| no. | total moment (μB/cell) |
| --- | --- |
| 1 | 0.00 |
| 2 | 0.00 |
| 3 | 0.00 |
| 4 | 0.00 |
| 5 | 1.04 |
| 6 | 0.00 |
| 7 | 0.00 |
| 8 | 0.00 |
| 9 | 0.00 |
| 10 | 0.00 |
| 11 | 0.00 |
| 12 | 0.00 |